No. 1
DFT (PBE) results for HoGeH after structural relaxation.

The structure in extended XYZ format:
```
6
Lattice="4.0230 0.0000 0.0000 0.0000 3.9822 0.0000 -2.0091 0.0000 5.7178" Properties=species:S:1:pos:R:3 pbc="T T T"
Ho -0.0016 0.9956 1.7109
Ho 2.0155 2.9867 4.0069
Ge 0.0045 0.9956 4.9518
Ge 2.0094 2.9867 0.7660
H 0.0000 2.9867 2.9098
H 2.0139 0.9956 2.8079
```

theoretical density = 8.6 g cm⁻³
symmetry = P2_1/m
offset from the most stable computed form = 0.000 eV/atom

***

No. 2
DFT (PBE) results for LaHfGa2 after structural relaxation.

The structure in extended XYZ format:
```
4
Lattice="3.6139 0.0000 0.0000 0.0000 3.6139 0.0000 0.0000 0.0000 6.8289" Properties=species:S:1:pos:R:3 pbc="T T T"
La 0.0000 0.0000 0.0000
Hf 0.0000 0.0000 3.4145
Ga 1.8069 1.8069 2.0424
Ga 1.8069 1.8069 4.7865
```

theoretical density = 8.5 g cm⁻³
symmetry = P4/mmm
formation energy = -1.71 eV per formula unit
offset from the most stable computed form = 0.000 eV/atom

***

No. 3
DFT (PBE) results for PmDy2ZrN4 after structural relaxation.

The structure in extended XYZ format:
```
8
Lattice="5.9535 0.0000 0.0000 0.0000 3.4399 0.0000 -1.9713 0.0000 5.6499" Properties=species:S:1:pos:R:3 pbc="T T T"
Pm 0.0000 0.0000 0.0000
Dy 1.9911 0.0000 2.8250
Dy 2.9768 1.7200 0.0000
Zr -0.9857 1.7200 2.8250
N -0.0160 0.0000 4.1459
N 0.9507 1.7200 1.5013
N 3.0315 1.7200 4.1486
N 3.9982 0.0000 1.5040
```

theoretical density = 8.9 g cm⁻³
uncorrected formation energy = -1.633 eV per atom
symmetry = P2/m

***

No. 4
DFT (PBE) results for CdNiTe3 after structural relaxation.

The structure in extended XYZ format:
```
5
Lattice="5.5111 0.0000 0.0000 0.0000 5.5111 0.0000 0.0000 0.0000 5.5111" Properties=species:S:1:pos:R:3 pbc="T T T"
Cd 0.0000 0.0000 0.0000
Ni 2.7556 2.7556 2.7556
Te 0.0000 0.0000 2.7556
Te 0.0000 2.7556 0.0000
Te 2.7556 0.0000 0.0000
```

theoretical density = 5.5 g cm⁻³
uncorrected formation energy = 1.105 eV per atom
symmetry = Pm-3m
offset from the most stable computed form = 0.843 eV/atom

***

No. 5
DFT (PBE) results for MgZrNb after structural relaxation.

The structure in extended XYZ format:
```
6
Lattice="2.4412 1.4094 6.6488 -2.4412 1.4094 6.6488 0.0000 -2.8189 6.6488" Properties=species:S:1:pos:R:3 pbc="T T T"
Mg 0.0000 0.0000 2.8383
Mg 0.0000 0.0000 17.1080
Zr 0.0000 0.0000 8.4876
Zr 0.0000 0.0000 11.4587
Nb 0.0000 0.0000 6.0165
Nb 0.0000 0.0000 13.9298
```

theoretical density = 5.0 g cm⁻³
symmetry = R-3m
formation energy = 1.86 eV per formula unit
offset from the most stable computed form = 0.424 eV/atom

***

No. 6
DFT (PBE) results for AlInBr2 after structural relaxation.

The structure in extended XYZ format:
```
4
Lattice="5.5591 0.0000 0.0000 0.0000 3.7988 0.0000 -1.7706 0.0000 6.0601" Properties=species:S:1:pos:R:3 pbc="T T T"
Al 0.0000 0.0000 0.0000
In 1.2509 1.8994 2.2416
Br 1.9332 1.8994 5.9848
Br 4.2718 0.0000 3.6624
```

theoretical density = 3.9 g cm⁻³
uncorrected formation energy = -0.479 eV per atom
symmetry = Pm
offset from the most stable computed form = 0.000 eV/atom

***

theoretical density of number 5 (MgZrNb)?
5.0 g cm⁻³